Record 1
Sc2HgRh, relaxed, DFT PBE; SG = P4/mmm
1.0
3.2920 0.0000 0.0000
0.0000 3.2920 0.0000
0.0000 0.0000 7.1435
Sc Hg Rh
2 1 1
Direct
0.0000 0.0000 0.2204
0.0000 0.0000 0.7796
0.5000 0.5000 0.5000
0.5000 0.5000 0.0000



Record 2
Sc2HgRh, relaxed, DFT PBE; SG = C2/m
1.0
3.1604 -1.7731 0.0000
3.1604 1.7731 0.0000
-1.9598 0.0000 7.6841
Sc Hg Rh
2 1 1
Direct
0.2371 0.2371 0.2080
0.7629 0.7629 0.7920
0.0000 0.0000 0.5000
0.5000 0.5000 0.0000



Record 3
Sc2HgRh, relaxed, DFT PBE; SG = R3m
1.0
1.6190 0.9347 9.2064
-1.6190 0.9347 9.2064
0.0000 -1.8695 9.2064
Sc Hg Rh
2 1 1
Direct
0.0000 0.0000 0.0000
0.2348 0.2348 0.2348
0.4805 0.4805 0.4805
0.7335 0.7335 0.7335



Record 4
Sc5Hg2Rh2, relaxed, DFT PBE; SG = Cmce
1.0
7.6749 -3.5074 0.0000
7.6749 3.5074 0.0000
0.0000 0.0000 7.0307
Sc Hg Rh
10 4 4
Direct
0.0000 0.0000 0.0000
0.0523 0.7020 0.6715
0.2020 0.5523 0.1715
0.2980 0.9477 0.6715
0.4477 0.7980 0.1715
0.5000 0.5000 0.5000
0.5523 0.2020 0.8285
0.7020 0.0523 0.3285
0.7980 0.4477 0.8285
0.9477 0.2980 0.3285
0.2177 0.2177 0.0000
0.2823 0.2823 0.5000
0.7177 0.7177 0.5000
0.7823 0.7823 0.0000
0.1353 0.8647 0.3633
0.3647 0.6353 0.8633
0.6353 0.3647 0.1367
0.8647 0.1353 0.6367



Record 5
Sc8HgRh2, relaxed, DFT PBE; SG = C2/m
1.0
4.0593 -6.2235 0.0000
4.0593 6.2235 0.0000
-1.3103 0.0000 4.8350
Sc Hg Rh
8 1 2
Direct
0.0725 0.3275 0.5817
0.2414 0.7586 0.0000
0.3275 0.0725 0.5817
0.3829 0.3829 0.1889
0.6171 0.6171 0.8111
0.6725 0.9275 0.4183
0.7586 0.2414 0.0000
0.9275 0.6725 0.4183
0.0000 0.0000 0.0000
0.3102 0.6898 0.5000
0.6898 0.3102 0.5000



Record 6
Sc2HgRh, relaxed, DFT PBE; SG = R-3m
1.0
1.8302 1.0567 8.9846
-1.8302 1.0567 8.9846
0.0000 -2.1133 8.9846
Sc Hg Rh
2 1 1
Direct
0.1119 0.1119 0.1119
0.8881 0.8881 0.8881
0.0000 0.0000 0.0000
0.5000 0.5000 0.5000



Record 7
Sc2HgRh, relaxed, DFT PBE; SG = Pmm2
1.0
3.5028 0.0000 0.0000
0.0000 3.8908 0.0000
0.0000 0.0000 6.0518
Sc Hg Rh
2 1 1
Direct
0.0000 0.0000 0.0000
0.5000 0.5000 0.3215
0.0000 0.0000 0.5345
0.5000 0.5000 0.8840



Record 8
Sc2HgRh, relaxed, DFT PBE; SG = Cmmm
1.0
3.3577 -3.3642 0.0000
3.3577 3.3642 0.0000
0.0000 0.0000 3.4082
Sc Hg Rh
2 1 1
Direct
0.0000 0.5000 0.0000
0.5000 0.0000 0.0000
0.0000 0.0000 0.5000
0.5000 0.5000 0.5000



Record 9
Sc5Hg4Rh, relaxed, DFT PBE; SG = P4/mmm
1.0
3.3970 0.0000 0.0000
0.0000 3.3970 0.0000
0.0000 0.0000 18.0053
Sc Hg Rh
5 4 1
Direct
0.0000 0.0000 0.0000
0.0000 0.0000 0.2064
0.0000 0.0000 0.4157
0.0000 0.0000 0.5843
0.0000 0.0000 0.7936
0.5000 0.5000 0.1029
0.5000 0.5000 0.3098
0.5000 0.5000 0.6902
0.5000 0.5000 0.8971
0.5000 0.5000 0.5000



Record 10
Sc6Hg3Rh, relaxed, DFT PBE; SG = P2_1/m
1.0
8.5193 0.0000 0.0000
0.0000 4.9422 0.0000
-3.1731 0.0000 10.0722
Sc Hg Rh
12 6 2
Direct
0.0412 0.2500 0.4147
0.1815 0.7500 0.1688
0.2764 0.2500 0.0023
0.3453 0.7500 0.8244
0.3735 0.2500 0.3348
0.3987 0.2500 0.6395
0.6013 0.7500 0.3605
0.6265 0.7500 0.6652
0.6547 0.2500 0.1756
0.7236 0.7500 0.9977
0.8185 0.2500 0.8312
0.9588 0.7500 0.5853
0.0079 0.7500 0.8733
0.0993 0.2500 0.7152
0.2831 0.7500 0.4768
0.7169 0.2500 0.5232
0.9007 0.7500 0.2848
0.9921 0.2500 0.1267
0.4570 0.7500 0.0961
0.5430 0.2500 0.9039



Record 11
Sc2HgRh, relaxed, DFT PBE; SG = F-43m
1.0
0.0000 3.3325 3.3325
3.3325 0.0000 3.3325
3.3325 3.3325 0.0000
Sc Hg Rh
2 1 1
Direct
0.0000 0.0000 0.0000
0.2500 0.2500 0.2500
0.5000 0.5000 0.5000
0.7500 0.7500 0.7500



Record 12
Sc3Hg2Rh, relaxed, DFT PBE; SG = Cmmm
1.0
2.3949 -7.1524 0.0000
2.3949 7.1524 0.0000
0.0000 0.0000 7.0584
Sc Hg Rh
6 4 2
Direct
0.0000 0.0000 0.2361
0.0000 0.0000 0.7639
0.3265 0.6735 0.2264
0.3265 0.6735 0.7736
0.6735 0.3265 0.2264
0.6735 0.3265 0.7736
0.1653 0.8347 0.5000
0.5000 0.5000 0.0000
0.5000 0.5000 0.5000
0.8347 0.1653 0.5000
0.1665 0.8335 0.0000
0.8335 0.1665 0.0000



Calculated values (eV/atom) of VASP energy for the records, taken in order: -5.800 -5.588 -5.273 -5.829 -6.360 -5.355 -5.526 -5.701 -4.557 -5.082 -5.505 -5.090.
Calculated values (eV per atom) of calculated formation energy for the records, taken in order: -0.72 -0.51 -0.19 -0.61 -0.39 -0.28 -0.45 -0.62 -0.54 -0.46 -0.43 -0.60.